DFT (GGA-PBE) results for a relaxed AcNd5Bi4 crystal.

a b c (Å): 10.8073 11.1536 6.2525
angles (deg): 90.00 90.00 90.00
Closest atoms and distances in Å follow each position.
Positions (direct):
Ac 0.2500 0.2500 0.0005  6 Bi 3.71-3.72
Ac 0.7500 0.7500 0.9995  6 Bi 3.71-3.72
Nd 0.9997 0.0001 0.2515  2 Nd 3.11-3.15, 4 Bi 3.26-3.27
Nd 0.0003 0.9999 0.7485  2 Nd 3.11-3.15, 4 Bi 3.26-3.27
Nd 0.9997 0.4999 0.2515  2 Nd 3.11-3.15, 4 Bi 3.26-3.27
Nd 0.0003 0.5001 0.7485  2 Nd 3.11-3.15, 4 Bi 3.26-3.27
Nd 0.2500 0.7500 0.4983  6 Bi 3.39-3.65
Nd 0.5003 0.0001 0.2515  2 Nd 3.11-3.15, 4 Bi 3.26-3.27
Nd 0.4997 0.9999 0.7485  2 Nd 3.11-3.15, 4 Bi 3.26-3.27
Nd 0.5003 0.4999 0.2515  2 Nd 3.11-3.15, 4 Bi 3.26-3.27
Nd 0.4997 0.5001 0.7485  2 Nd 3.11-3.15, 4 Bi 3.26-3.27
Nd 0.7500 0.2500 0.5017  6 Bi 3.39-3.65
Bi 0.0640 0.2500 0.5002  5 Nd 3.27-3.39
Bi 0.2500 0.5824 0.0007  5 Nd 3.26-3.63
Bi 0.2500 0.9176 0.0007  5 Nd 3.26-3.63
Bi 0.4360 0.2500 0.5002  5 Nd 3.27-3.39
Bi 0.5640 0.7500 0.4998  5 Nd 3.27-3.39
Bi 0.7500 0.0824 0.9993  5 Nd 3.26-3.63
Bi 0.7500 0.4176 0.9993  5 Nd 3.26-3.63
Bi 0.9360 0.7500 0.4998  5 Nd 3.27-3.39

## Properties
Space-group type ... Pmmn (59)
Formation energy from the elements ... -0.459 eV/atom
ρ ... 7.86 g cm⁻³